An optimized crystal structure of Mg2Ag2TeO6. Source: Alexandria, functional GGA-PBE.

Lattice parameters (Å, degrees): 5.389 5.389 6.379 94.23 94.23 120.21
Positions (direct):
1 Mg 0.163 0.837 0.000
2 Mg 0.837 0.163 0.000
3 Ag 0.338 0.662 0.500
4 Ag 0.662 0.338 0.500
5 Te 0.500 0.500 0.000
6 O 0.167 0.167 0.842
7 O 0.218 0.535 0.167
8 O 0.465 0.782 0.833
9 O 0.535 0.218 0.167
10 O 0.782 0.465 0.833
11 O 0.833 0.833 0.158

Results
uncorrected formation energy: -1.44 eV per atom
symmetry: C2/m (12)